The following is a PBE-GGA calculation of CaPr15Sm4 after structural relaxation, from Alexandria.

Results
ΔH_f (0 K) ... 0.020 eV/atom
Calculated total energy ... -0.169 hartree per atom

Structure (CIF):
```
data_CaPr15Sm4
_chemical_formula_sum 'Ca1 Pr15 Sm4'
_symmetry_space_group_name_H-M 'P 4/m m m'
_symmetry_Int_Tables_number 123
_symmetry_space_group_name_Hall '-P 4 2'
_cell_length_a 5.250
_cell_length_b 5.250
_cell_length_c 26.109
_cell_angle_alpha 90.00
_cell_angle_beta 90.00
_cell_angle_gamma 90.00
loop_
_atom_site_label
_atom_site_type_symbol
_atom_site_fract_x
_atom_site_fract_y
_atom_site_fract_z
Ca1 Ca 0.000 0.000 0.000
Pr1 Pr 0.000 0.500 0.103
Pr2 Pr 0.000 0.500 0.301
Pr3 Pr 0.000 0.500 0.500
Pr4 Pr 0.500 0.500 0.000
Pr5 Pr 0.500 0.500 0.200
Pr6 Pr 0.500 0.500 0.400
Sm1 Sm 0.000 0.000 0.201
Sm2 Sm 0.000 0.000 0.400
```

---

The following is a PBE-GGA calculation of Ca2Pr2Sm after structural relaxation, from Alexandria.

Results
ΔH_f (0 K) ... 0.353 eV/atom
ΔE to the lowest computed polymorph ... 324 meV/atom
Calculated total energy ... -0.121 hartree per atom

Structure (CIF):
```
data_Ca2Pr2Sm
_chemical_formula_sum 'Ca4 Pr4 Sm2'
_symmetry_space_group_name_H-M 'I 4/m m m'
_symmetry_Int_Tables_number 139
_symmetry_space_group_name_Hall '-I 4 2'
_cell_length_a 4.702
_cell_length_b 4.702
_cell_length_c 17.526
_cell_angle_alpha 90.00
_cell_angle_beta 90.00
_cell_angle_gamma 90.00
loop_
_atom_site_label
_atom_site_type_symbol
_atom_site_fract_x
_atom_site_fract_y
_atom_site_fract_z
Ca1 Ca 0.000 0.500 0.250
Pr1 Pr 0.000 0.000 0.089
Sm1 Sm 0.000 0.000 0.500
```

---

The following is a PBE-GGA calculation of CaPrSm2 after structural relaxation, from Alexandria.

Results
ΔH_f (0 K) ... 0.086 eV/atom
ΔE to the lowest computed polymorph ... 39 meV/atom
Calculated total energy ... -0.146 hartree per atom

Structure (CIF):
```
data_CaPrSm2
_chemical_formula_sum 'Ca1 Pr1 Sm2'
_symmetry_space_group_name_H-M 'P 4/m m m'
_symmetry_Int_Tables_number 123
_symmetry_space_group_name_Hall '-P 4 2'
_cell_length_a 5.187
_cell_length_b 5.187
_cell_length_c 5.278
_cell_angle_alpha 90.00
_cell_angle_beta 90.00
_cell_angle_gamma 90.00
loop_
_atom_site_label
_atom_site_type_symbol
_atom_site_fract_x
_atom_site_fract_y
_atom_site_fract_z
Ca1 Ca 0.000 0.000 0.000
Pr1 Pr 0.500 0.500 0.000
Sm1 Sm 0.000 0.500 0.500
```

---

The following is a PBE-GGA calculation of Ca2Pr6Sm after structural relaxation, from Alexandria.

Results
ΔH_f (0 K) ... 0.266 eV/atom
Calculated total energy ... -0.143 hartree per atom

Structure (CIF):
```
data_Ca2Pr6Sm
_chemical_formula_sum 'Ca4 Pr12 Sm2'
_symmetry_space_group_name_H-M 'C m m m'
_symmetry_Int_Tables_number 65
_symmetry_space_group_name_Hall '-C 2 2'
_cell_length_a 8.884
_cell_length_b 13.840
_cell_length_c 5.645
_cell_angle_alpha 90.00
_cell_angle_beta 90.00
_cell_angle_gamma 90.00
loop_
_atom_site_label
_atom_site_type_symbol
_atom_site_fract_x
_atom_site_fract_y
_atom_site_fract_z
Ca1 Ca 0.000 0.213 0.000
Pr1 Pr 0.180 0.366 0.500
Pr2 Pr 0.224 0.500 0.000
Sm1 Sm 0.000 0.000 0.500
```